Arrangement A

Computed, not measured: Li12Mg7Tl after structural relaxation at the PBE level of DFT.

CIF file:
```
data_Li12Mg7Tl
_chemical_formula_sum 'Li24 Mg14 Tl2'
_space_group_name_H-M_alt 'I m -3'
_space_group_IT_number 204
_space_group_name_Hall '-I 2 2 3'
_cell_length_a 10.279
_cell_length_b 10.279
_cell_length_c 10.279
_cell_angle_alpha 90.00
_cell_angle_beta 90.00
_cell_angle_gamma 90.00
loop_
_atom_site_label
_atom_site_type_symbol
_atom_site_fract_x
_atom_site_fract_y
_atom_site_fract_z
_atom_site_occupancy
Li1 Li 0.000 0.356 0.251 1
Mg1 Mg 0.000 0.000 0.500 1
Mg2 Mg 0.250 0.250 0.250 1
Tl1 Tl 0.000 0.000 0.000 1
```

Arrangement B

Computed, not measured: Li12Mg7Tl after structural relaxation at the PBE level of DFT.

CIF file:
```
data_Li12Mg7Tl
_chemical_formula_sum 'Li36 Mg21 Tl3'
_space_group_name_H-M_alt 'R -3'
_space_group_IT_number 148
_space_group_name_Hall '-R 3'
_cell_length_a 10.8564
_cell_length_b 10.8564
_cell_length_c 12.2510
_cell_angle_alpha 90.00
_cell_angle_beta 90.00
_cell_angle_gamma 120.00
loop_
_atom_site_label
_atom_site_type_symbol
_atom_site_fract_x
_atom_site_fract_y
_atom_site_fract_z
_atom_site_occupancy
Li1 Li 0.0368 0.4500 0.2084 1
Li2 Li 0.0569 0.5935 0.5863 1
Mg1 Mg 0.0000 0.0000 0.0000 1
Mg2 Mg 0.0485 0.1866 0.2991 1
Tl1 Tl 0.0000 0.0000 0.5000 1
```

Which of them is most stable? Easy: arrangement B.

Arrangement A

Computed, not measured: LiMg3Tl6 after structural relaxation at the PBE level of DFT.

CIF file:
```
data_LiMg3Tl6
_chemical_formula_sum 'Li6 Mg18 Tl36'
_space_group_name_H-M_alt 'R -3'
_space_group_IT_number 148
_space_group_name_Hall '-R 3'
_cell_length_a 13.7246
_cell_length_b 13.7246
_cell_length_c 9.7477
_cell_angle_alpha 90.00
_cell_angle_beta 90.00
_cell_angle_gamma 120.00
loop_
_atom_site_label
_atom_site_type_symbol
_atom_site_fract_x
_atom_site_fract_y
_atom_site_fract_z
_atom_site_occupancy
Li1 Li 0.0000 0.0000 0.0000 1
Li2 Li 0.0000 0.0000 0.5000 1
Mg1 Mg 0.0047 0.8642 0.2425 1
Tl1 Tl 0.0288 0.7823 0.9129 1
Tl2 Tl 0.0680 0.4873 0.1378 1
```

Arrangement B

Computed, not measured: LiMg3Tl6 after structural relaxation at the PBE level of DFT.

CIF file:
```
data_LiMg3Tl6
_chemical_formula_sum 'Li4 Mg12 Tl24'
_space_group_name_H-M_alt 'C m c 21'
_space_group_IT_number 36
_cell_length_a 9.879
_cell_length_b 17.588
_cell_length_c 6.051
_cell_angle_alpha 90.00
_cell_angle_beta 90.00
_cell_angle_gamma 90.00
loop_
_space_group_symop_operation_xyz
'x,y,z'
'-x,-y,z+1/2'
'-x,y,z'
'x,-y,z+1/2'
'x+1/2,y+1/2,z'
'-x+1/2,-y+1/2,z+1/2'
'-x+1/2,y+1/2,z'
'x+1/2,-y+1/2,z+1/2'
loop_
_atom_site_label
_atom_site_type_symbol
_atom_site_fract_x
_atom_site_fract_y
_atom_site_fract_z
_atom_site_occupancy
Li1 Li 0.000 0.143 0.000 1
Mg1 Mg 0.000 0.424 0.053 1
Mg2 Mg 0.177 0.115 0.482 1
Tl1 Tl 0.000 0.003 0.741 1
Tl2 Tl 0.000 0.281 0.712 1
Tl3 Tl 0.168 0.265 0.223 1
Tl4 Tl 0.191 0.433 0.514 1
```

Which of them is most stable? Easy: arrangement B.

Arrangement A

Computed, not measured: LiMg6Tl after structural relaxation at the PBE level of DFT.

CIF file:
```
data_LiMg6Tl
_chemical_formula_sum 'Li2 Mg12 Tl2'
_space_group_name_H-M_alt 'A m m 2'
_space_group_IT_number 38
_cell_length_a 5.228
_cell_length_b 6.262
_cell_length_c 11.030
_cell_angle_alpha 90.00
_cell_angle_beta 90.00
_cell_angle_gamma 90.00
loop_
_space_group_symop_operation_xyz
'x,y,z'
'-x,-y,z'
'-x,y,z'
'x,-y,z'
'x,y+1/2,z+1/2'
'-x,-y+1/2,z+1/2'
'-x,y+1/2,z+1/2'
'x,-y+1/2,z+1/2'
loop_
_atom_site_label
_atom_site_type_symbol
_atom_site_fract_x
_atom_site_fract_y
_atom_site_fract_z
_atom_site_occupancy
Li1 Li 0.000 0.000 0.000 1
Mg1 Mg 0.000 0.249 0.751 1
Mg2 Mg 0.500 0.000 0.332 1
Mg3 Mg 0.500 0.000 0.835 1
Mg4 Mg 0.500 0.245 0.085 1
Tl1 Tl 0.000 0.000 0.501 1
```

Arrangement B

Computed, not measured: LiMg6Tl after structural relaxation at the PBE level of DFT.

CIF file:
```
data_LiMg6Tl
_chemical_formula_sum 'Li2 Mg12 Tl2'
_space_group_name_H-M_alt 'A m m 2'
_space_group_IT_number 38
_cell_length_a 5.161
_cell_length_b 6.610
_cell_length_c 10.657
_cell_angle_alpha 90.00
_cell_angle_beta 90.00
_cell_angle_gamma 90.00
loop_
_space_group_symop_operation_xyz
'x,y,z'
'-x,-y,z'
'-x,y,z'
'x,-y,z'
'x,y+1/2,z+1/2'
'-x,-y+1/2,z+1/2'
'-x,y+1/2,z+1/2'
'x,-y+1/2,z+1/2'
loop_
_atom_site_label
_atom_site_type_symbol
_atom_site_fract_x
_atom_site_fract_y
_atom_site_fract_z
_atom_site_occupancy
Li1 Li 0.000 0.000 0.000 1
Mg1 Mg 0.000 0.000 0.494 1
Mg2 Mg 0.000 0.247 0.248 1
Mg3 Mg 0.500 0.000 0.178 1
Mg4 Mg 0.500 0.243 0.929 1
Tl1 Tl 0.500 0.000 0.676 1
```

Which of them is most stable? Easy: arrangement A.